Entry from Alexandria: TlVN2O after structural relaxation (PBE with a Hubbard U).

Cell lengths 3.9881, 3.9881, 3.7740 Å; angles 90.00, 90.00, 90.00 degrees
Fractional coordinates of all 5 atoms:
N  0.0000  0.5000  0.0000
V  0.0000  0.0000  0.0000
Tl  0.5000  0.5000  0.5000
O  0.0000  0.0000  0.5000
N  0.5000  0.0000  0.0000

Results
E_tot ... -30.37 eV per formula unit
Total magnetic moment ... 0.0 Bohr magnetons per cell
SG ... No. 123